[1]
Th4Si2Se5: optimized geometry, PBE.

density	5.9	Mg/m³
formation energy from raw total energies	-13.632	eV per formula unit

Cell lengths 23.1652, 4.1869, 8.0473 Å; angles 90.00, 90.76, 90.00 degrees
Last column: nearest neighbours and their distance in Å.
Space group C2/m (No. 12)
One atom of each set of equivalent atoms:
1 Th 0.0187 0.0000 0.2367 (multiplicity 4)  3 Se 2.88-3.01, 4 Si 3.06-3.10
2 Th 0.1721 0.5000 0.0700 (multiplicity 4)  5 Se 2.91-2.92, 1 Si 2.96
3 Si 0.0485 0.5000 0.9739 (multiplicity 4)  1 Si 2.29
4 Se 0.0000 0.5000 0.5000 (multiplicity 2)  4 Th 3.01
5 Se 0.1413 0.0000 0.3043 (multiplicity 4)  3 Th 2.88-2.91
6 Se 0.2054 0.0000 0.8365 (multiplicity 4)  3 Th 2.92



[2]
TlNi2Ag: optimized geometry, PBE.

density	11.5	Mg/m³
electronic total energy	-3.903	eV/atom

Cell lengths 3.2625, 3.2625, 5.8381 Å; angles 90.00, 90.00, 90.00 degrees
Last column: nearest neighbours and their distance in Å.
Space group P4/mmm (No. 123)
One atom of each set of equivalent atoms:
1 Tl 0.0000 0.0000 0.0000 (multiplicity 1)  8 Ni 2.74, 2 Ag 2.92
2 Ni 0.5000 0.5000 0.2544 (multiplicity 2)  4 Ag 2.72, 4 Tl 2.74, 2 Ni 2.87-2.97
3 Ag 0.0000 0.0000 0.5000 (multiplicity 1)  8 Ni 2.72, 2 Tl 2.92



[3]
PmYHo: optimized geometry, PBE.

density	6.8	Mg/m³
electronic total energy	-5.202	eV/atom

Cell lengths 5.6433, 5.6433, 3.5302 Å; angles 90.00, 90.00, 120.00 degrees
Last column: nearest neighbours and their distance in Å.
Space group P-6m2 (No. 187)
One atom of each set of equivalent atoms:
1 Pm 0.0000 0.0000 0.0000 (multiplicity 1)  3 Ho 3.26, 2 Pm 3.53
2 Y 0.6667 0.3333 0.5000 (multiplicity 1)  2 Y 3.53, 6 Pm 3.71, 6 Ho 3.71
3 Ho 0.3333 0.6667 0.0000 (multiplicity 1)  3 Pm 3.26, 2 Ho 3.53



Question: Which value of density does entry 3 give?
Answer: 6.8 Mg/m³



Copy entry 2 word for word.
TlNi2Ag: optimized geometry, PBE.

density	11.5	Mg/m³
electronic total energy	-3.903	eV/atom

Cell lengths 3.2625, 3.2625, 5.8381 Å; angles 90.00, 90.00, 90.00 degrees
Last column: nearest neighbours and their distance in Å.
Space group P4/mmm (No. 123)
One atom of each set of equivalent atoms:
1 Tl 0.0000 0.0000 0.0000 (multiplicity 1)  8 Ni 2.74, 2 Ag 2.92
2 Ni 0.5000 0.5000 0.2544 (multiplicity 2)  4 Ag 2.72, 4 Tl 2.74, 2 Ni 2.87-2.97
3 Ag 0.0000 0.0000 0.5000 (multiplicity 1)  8 Ni 2.72, 2 Tl 2.92



Question: Number 2 is which compound?
Answer: TlNi2Ag